Li3CO | PBE-GGA | relaxed

a = 3.7815 Å, b = 3.7815 Å, c = 3.7815 Å
α = 90.00°, β = 90.00°, γ = 90.00°
Last column: nearest neighbours and their distance in Å.
Fractional positions:
Li: 0.0000 0.0000 0.5000  2 O 1.89
Li: 0.0000 0.5000 0.0000  2 O 1.89
Li: 0.5000 0.0000 0.0000  2 O 1.89
C: 0.5000 0.5000 0.5000  12 Li 2.67
O: 0.0000 0.0000 0.0000  6 Li 1.89

Output
The uncorrected energy comes out at -0.154 hartree per atom. The total magnetization is 0.600 μB/atom. For the formation energy without anion corrections, the calculation gives -0.20 eV/atom.